Computed, not measured: Fe3OsO after structural relaxation at the PBE+U level of DFT.

```
Fe3OsO
1.0
4.756 0.000 0.000
0.000 4.756 0.000
0.000 0.000 4.756
Fe Os O
3 1 1
direct
0.000 0.000 0.500 Fe
0.000 0.500 0.000 Fe
0.500 0.000 0.000 Fe
0.000 0.000 0.000 Os
0.500 0.500 0.500 O
```

Total magnetic moment, μB/f.u.: 12.0
Energy above the most stable polymorph in this dataset, meV per atom: 1634
Fermi-level density of states, states/eV/f.u.: 5.2